Record 1
## KScBrCl2 (GGA-PBE)

Data for a relaxed structure of KScBrCl2.

It has space group P4/mmm (No. 123), with a = 5.1061 Å, b = 5.1061 Å, c = 5.5217 Å, α = 90.00°, β = 90.00° and γ = 90.00°. The inequivalent atoms are K at (0.0000, 0.0000, 0.0000), Sc at (0.5000, 0.5000, 0.5000), Br at (0.5000, 0.5000, 0.0000) and Cl at (0.0000, 0.5000, 0.5000).

The energy relative to the elements, uncorrected is -1.7438 eV per atom. The theoretical density comes out at 2.71 Mg/m³.

Record 2
## BaLa3Ir (GGA-PBE)

Data for a relaxed structure of BaLa3Ir.

It has space group P2_1/c (No. 14), with a = 11.1197 Å, b = 7.4181 Å, c = 10.6192 Å, α = 90.00°, β = 117.05° and γ = 90.00°. The inequivalent atoms are Ba at (0.0059, 0.2142, 0.3523), La at (0.3079, 0.0014, 0.1604), La at (0.3564, 0.0694, 0.8391), La at (0.3556, 0.5806, 0.0202) and Ir at (0.4955, 0.2473, 0.6325).

For the energy of formation, the calculation gives -0.29 eV per atom. The theoretical density comes out at 6.35 Mg/m³.

Record 3
## ZnCd2Ni (GGA-PBE)

Data for a relaxed structure of ZnCd2Ni.

It has space group I-42d (No. 122), with a = 7.4417 Å, b = 7.4417 Å, c = 5.4181 Å, α = 90.00°, β = 90.00° and γ = 90.00°. The inequivalent atoms are Zn at (0.0000, 0.0000, 0.0000), Cd at (0.2263, 0.2500, 0.6250) and Ni at (0.0000, 0.0000, 0.5000).

For the energy of formation, the calculation gives 0.28 eV per atom. The theoretical density comes out at 7.72 Mg/m³.

Record 4
## YbMgO3 (GGA-PBE)

Data for a relaxed structure of YbMgO3.

It has space group Pm-3m (No. 221), with a = 3.8928 Å, b = 3.8928 Å, c = 3.8928 Å, α = 90.00°, β = 90.00° and γ = 90.00°. The inequivalent atoms are Yb at (0.0000, 0.0000, 0.0000), Mg at (0.5000, 0.5000, 0.5000) and O at (0.0000, 0.5000, 0.5000).

The energy relative to the elements, uncorrected is -2.0093 eV per atom. The theoretical density comes out at 6.91 Mg/m³.

Record 5
## K2Cu2TeSe4 (GGA-PBE)

Data for a relaxed structure of K2Cu2TeSe4.

It has space group C2/m (No. 12), with a = 15.3520 Å, b = 4.1167 Å, c = 7.8312 Å, α = 90.00°, β = 111.05° and γ = 90.00°. The inequivalent atoms are K at (0.1372, 0.0000, 0.0579), Cu at (0.1948, 0.5000, 0.4948), Te at (0.0000, 0.0000, 0.5000), Se at (0.0249, 0.5000, 0.2709) and Se at (0.1989, 0.0000, 0.6820).

The energy relative to the elements, uncorrected is -0.5023 eV per atom. The theoretical density comes out at 4.66 Mg/m³.

Record 6
## CsLaPd2Au (GGA-PBE)

Data for a relaxed structure of CsLaPd2Au.

It has space group P4/mmm (No. 123), with a = 5.1844 Å, b = 5.1844 Å, c = 6.0063 Å, α = 90.00°, β = 90.00° and γ = 90.00°. The inequivalent atoms are Cs at (0.0000, 0.0000, 0.0000), La at (0.5000, 0.5000, 0.5000), Pd at (0.0000, 0.5000, 0.0000) and Au at (0.0000, 0.0000, 0.5000).

For the energy of formation, the calculation gives 0.79 eV per atom. The theoretical density comes out at 7.01 Mg/m³.

Record 7
## FePtS (GGA-PBE)

Data for a relaxed structure of FePtS.

It has space group P-6m2 (No. 187), with a = 2.9632 Å, b = 2.9632 Å, c = 11.2849 Å, α = 90.00°, β = 90.00° and γ = 120.00°. The inequivalent atoms are Fe at (0.0000, 0.0000, 0.1812), Pt at (0.6667, 0.3333, 0.0000), Pt at (0.6667, 0.3333, 0.5000) and S at (0.6667, 0.3333, 0.2958).

The energy relative to the elements, uncorrected is -0.1859 eV per atom. The theoretical density comes out at 10.95 Mg/m³.

Per-record size of the total moment, μB/f.u.: 0.96 0.00 0.00 2.02 0.00 0.00 1.46